[1]
Below is a relaxed structure of TeH4Pd12, with properties calculated at the PBE-GGA level.

Results
SG: Im-3, No. 204
uncorrected energy: -0.1712 hartree per atom
M_tot: 0.000 μB per cell

Cell lengths 6.6195, 6.6195, 6.6195 Å; angles 109.47, 109.47, 109.47 degrees
With the nearest neighbours (Å) after each atom.
Element x y z (fractional)
Te 0.0000 0.0000 0.0000  12 Pd 2.77
H 0.0000 0.5000 0.0000  6 Pd 2.03
H 0.5000 0.0000 0.0000  6 Pd 2.03
H 0.5000 0.5000 0.5000  6 Pd 2.03
H 0.0000 0.0000 0.5000  6 Pd 2.03
Pd 0.8149 0.3114 0.1263  2 H 2.03
Pd 0.3114 0.4965 0.1851  2 H 2.03
Pd 0.8737 0.1851 0.6886  2 H 2.03
Pd 0.3114 0.1263 0.8149  2 H 2.03
Pd 0.1263 0.8149 0.3114  2 H 2.03
Pd 0.6886 0.5035 0.8149  2 H 2.03
Pd 0.4965 0.1851 0.3114  2 H 2.03
Pd 0.5035 0.8149 0.6886  2 H 2.03
Pd 0.6886 0.8737 0.1851  2 H 2.03
Pd 0.8149 0.6886 0.5035  2 H 2.03
Pd 0.1851 0.3114 0.4965  2 H 2.03
Pd 0.1851 0.6886 0.8737  2 H 2.03



[2]
Below is a relaxed structure of TeHPd4, with properties calculated at the PBE-GGA level.

Results
SG: P-1, No. 2
uncorrected energy: -0.1745 hartree per atom
M_tot: 0.000 μB per cell
ΔE to the lowest computed polymorph: 0.00 eV/f.u.

Cell lengths 7.9896, 5.9472, 4.9695 Å; angles 126.21, 88.08, 73.56 degrees
With the nearest neighbours (Å) after each atom.
Element x y z (fractional)
Te 0.7343 0.6406 0.3777  8 Pd 2.64-2.81
Te 0.2657 0.3594 0.6223  8 Pd 2.64-2.81
H 0.1168 0.0278 0.8979  4 Pd 1.83-1.94
H 0.8832 0.9722 0.1021  4 Pd 1.83-1.94
Pd 0.8861 0.5843 0.8273  1 H 1.85
Pd 0.1069 0.9444 0.2201  2 H 1.89-1.94
Pd 0.6678 0.2520 0.4240  1 H 1.83
Pd 0.4976 0.8088 0.1082  2 Te 2.65-2.66, 6 Pd 2.87-2.94
Pd 0.5024 0.1912 0.8918  2 Te 2.65-2.66, 6 Pd 2.87-2.94
Pd 0.3322 0.7480 0.5760  1 H 1.83
Pd 0.8931 0.0556 0.7799  2 H 1.89-1.94
Pd 0.1139 0.4157 0.1727  1 H 1.85



[3]
Below is a relaxed structure of Te4HPd2, with properties calculated at the PBE-GGA level.

Results
SG: I4/mmm, No. 139
uncorrected energy: -0.1340 hartree per atom
M_tot: 0.000 μB per cell
ΔE to the lowest computed polymorph: 1.92 eV/f.u.

Cell lengths 4.6896, 4.6896, 8.9384 Å; angles 74.79, 74.79, 90.00 degrees
With the nearest neighbours (Å) after each atom.
Element x y z (fractional)
H 0.0000 0.0000 0.0000  4 Te 2.34
Te 0.7422 0.7422 0.5156  1 Pd 2.61
Te 0.2578 0.2578 0.4844  1 Pd 2.61
Te 0.0000 0.5000 0.0000  2 H 2.34
Te 0.5000 0.0000 0.0000  2 H 2.34
Pd 0.5849 0.5849 0.8302  5 Te 2.61-2.74, 1 Pd 2.82
Pd 0.4151 0.4151 0.1698  5 Te 2.61-2.74, 1 Pd 2.82



[4]
Below is a relaxed structure of Te4HPd2, with properties calculated at the PBE-GGA level.

Results
SG: C2/m, No. 12
uncorrected energy: -0.1441 hartree per atom
M_tot: 0.000 μB per cell
ΔE to the lowest computed polymorph: 0.00 eV/f.u.

Cell lengths 8.1038, 7.0324, 8.2884 Å; angles 113.22, 119.27, 89.99 degrees
With the nearest neighbours (Å) after each atom.
Element x y z (fractional)
Te 0.9078 0.1500 0.3316  3 Pd 2.63-2.75
Te 0.3422 0.6000 0.1684  3 Pd 2.63-2.75
Te 0.8360 0.5928 0.6720  3 Pd 2.73-2.75
Te 0.8847 0.1257 0.7693  1 H 1.72
Te 0.4238 0.1501 0.3316  3 Pd 2.63-2.75
Te 0.4140 0.1572 0.8280  3 Pd 2.73-2.75
Te 0.3653 0.6243 0.7307  1 H 1.72
Te 0.8262 0.5999 0.1684  3 Pd 2.63-2.75
H 0.2341 0.5437 0.4683  1 Te 1.72
H 0.0159 0.2063 0.0317  1 Te 1.72
Pd 0.6250 0.3750 0.7500  6 Te 2.71-2.75
Pd 0.6250 0.8750 0.2500  4 Te 2.63
Pd 0.6250 0.3750 0.2500  6 Te 2.73-2.75
Pd 0.1250 0.3750 0.7500  6 Te 2.71-2.75



[5]
Below is a relaxed structure of Te5HPd3, with properties calculated at the PBE-GGA level.

Results
SG: C2/m, No. 12
uncorrected energy: -0.1447 hartree per atom
M_tot: 0.000 μB per cell

Cell lengths 6.5151, 6.5151, 10.5195 Å; angles 81.87, 81.87, 82.82 degrees
With the nearest neighbours (Å) after each atom.
Element x y z (fractional)
Te 0.9347 0.3302 0.3160  3 Pd 2.72-2.79
Te 0.3040 0.6960 0.0000  3 Pd 2.62-2.78
Te 0.7387 0.7387 0.1026  3 Pd 2.58-2.85
Te 0.4082 0.4082 0.3772  3 Pd 2.67-2.82
Te 0.5918 0.5918 0.6228  3 Pd 2.67-2.82
Te 0.2613 0.2613 0.8974  3 Pd 2.58-2.85
Te 0.3302 0.9347 0.3160  3 Pd 2.72-2.79
Te 0.6960 0.3040 0.0000  3 Pd 2.62-2.78
Te 0.0653 0.6698 0.6840  3 Pd 2.72-2.79
Te 0.6698 0.0653 0.6840  3 Pd 2.72-2.79
H 0.1324 0.1324 0.5950  2 Pd 1.76-1.78
H 0.8676 0.8676 0.4050  2 Pd 1.76-1.78
Pd 0.6862 0.6862 0.8449  6 Te 2.67-2.85
Pd 0.6990 0.6990 0.3679  1 H 1.76
Pd 0.0000 0.0000 0.0000  4 Te 2.58-2.62
Pd 0.0000 0.0000 0.5000  2 H 1.78
Pd 0.3138 0.3138 0.1551  6 Te 2.67-2.85
Pd 0.3010 0.3010 0.6321  1 H 1.76



[6]
Below is a relaxed structure of TeHPd4, with properties calculated at the PBE-GGA level.

Results
SG: P2, No. 3
uncorrected energy: -0.1727 hartree per atom
M_tot: 0.000 μB per cell
ΔE to the lowest computed polymorph: 0.28 eV/f.u.

Cell lengths 4.1550, 4.0120, 6.0175 Å; angles 71.22, 89.99, 89.99 degrees
With the nearest neighbours (Å) after each atom.
Element x y z (fractional)
Te 0.4640 0.4972 0.9981  8 Pd 2.68-2.73
H 0.1774 0.9976 0.4983  4 Pd 1.80-1.87
Pd 0.4717 0.8370 0.3199  1 H 1.87
Pd 0.4721 0.1575 0.6764  1 H 1.87
Pd 0.9614 0.6349 0.6981  1 H 1.80
Pd 0.9612 0.3595 0.2981  1 H 1.80



[7]
Below is a relaxed structure of Te2HPd4, with properties calculated at the PBE-GGA level.

Results
SG: P1, No. 1
uncorrected energy: -0.1662 hartree per atom
M_tot: 0.000 μB per cell
ΔE to the lowest computed polymorph: 0.07 eV/f.u.

Cell lengths 6.9434, 7.0160, 7.0406 Å; angles 119.94, 120.41, 90.11 degrees
With the nearest neighbours (Å) after each atom.
Element x y z (fractional)
Te 0.6230 0.4916 0.7496  7 Pd 2.66-2.97
Te 0.6283 0.8772 0.3697  7 Pd 2.65-2.97
Te 0.6237 0.2577 0.1319  6 Pd 2.65-2.96
Te 0.1249 0.3784 0.7522  6 Pd 2.84-2.88
H 0.2500 0.7495 0.4958  4 Pd 1.85-1.88
H 0.0001 0.9987 0.0031  4 Pd 1.85-1.88
Pd 0.8917 0.9950 0.1965  1 H 1.87
Pd 0.3585 0.5496 0.3047  1 H 1.87
Pd 0.8924 0.6983 0.6927  1 H 1.88
Pd 0.8940 0.1981 0.9003  1 H 1.87
Pd 0.3284 0.1071 0.2178  1 H 1.85
Pd 0.3585 0.0534 0.6025  1 H 1.87
Pd 0.3549 0.7560 0.8030  1 H 1.88
Pd 0.9216 0.6393 0.2801  1 H 1.85



[8]
Below is a relaxed structure of TeH6Pd8, with properties calculated at the PBE-GGA level.

Results
SG: P-3, No. 147
uncorrected energy: -0.1623 hartree per atom
M_tot: 0.000 μB per cell

Cell lengths 2.9524, 8.0331, 8.0331 Å; angles 120.00, 90.00, 90.00 degrees
With the nearest neighbours (Å) after each atom.
Element x y z (fractional)
Te 0.5000 0.0000 0.0000  6 Pd 2.75, 2 Te 2.95
H 0.7915 0.5491 0.7037  4 Pd 1.85-1.98
H 0.7915 0.2963 0.8453  4 Pd 1.85-1.98
H 0.7915 0.1547 0.4509  4 Pd 1.85-1.98
H 0.2085 0.4509 0.2963  4 Pd 1.85-1.98
H 0.2085 0.7037 0.1547  4 Pd 1.85-1.98
H 0.2085 0.8453 0.5491  4 Pd 1.85-1.98
Pd 0.6946 0.6575 0.9829  3 H 1.89-1.98
Pd 0.6946 0.0171 0.6746  3 H 1.89-1.98
Pd 0.6946 0.3254 0.3425  3 H 1.89-1.98
Pd 0.3054 0.3425 0.0171  3 H 1.89-1.98
Pd 0.3054 0.9829 0.3254  3 H 1.89-1.98
Pd 0.3054 0.6746 0.6575  3 H 1.89-1.98
Pd 0.8946 0.6667 0.3333  3 H 1.85
Pd 0.1054 0.3333 0.6667  3 H 1.85



[9]
Below is a relaxed structure of Te2H3Pd8, with properties calculated at the PBE-GGA level.

Results
SG: C2/m, No. 12
uncorrected energy: -0.1671 hartree per atom
M_tot: 0.000 μB per cell

Cell lengths 5.8614, 5.5374, 6.8047 Å; angles 114.01, 108.70, 90.00 degrees
With the nearest neighbours (Å) after each atom.
Element x y z (fractional)
Te 0.2986 0.2569 0.5139  6 Pd 2.63-2.77
Te 0.7014 0.7431 0.4861  6 Pd 2.63-2.77
H 0.5000 0.0000 0.0000  6 Pd 1.98-2.12
H 0.0000 0.2990 0.0000  4 Pd 1.83-2.04
H 0.0000 0.7010 0.0000  4 Pd 1.83-2.04
Pd 0.9784 0.6129 0.2259  2 H 1.83
Pd 0.0216 0.3871 0.7741  2 H 1.83
Pd 0.8250 0.1453 0.2906  1 H 2.12
Pd 0.1750 0.8547 0.7094  1 H 2.12
Pd 0.6340 0.6766 0.8472  2 H 1.98-2.04
Pd 0.6340 0.1706 0.8472  2 H 1.98-2.04
Pd 0.3660 0.8294 0.1528  2 H 1.98-2.04
Pd 0.3660 0.3234 0.1528  2 H 1.98-2.04



[10]
Below is a relaxed structure of TeH2Pd4, with properties calculated at the PBE-GGA level.

Results
SG: P1, No. 1
uncorrected energy: -0.1662 hartree per atom
M_tot: 0.000 μB per cell
ΔE to the lowest computed polymorph: 0.00 eV/f.u.

Cell lengths 5.6475, 5.1867, 7.6376 Å; angles 108.31, 114.40, 96.32 degrees
With the nearest neighbours (Å) after each atom.
Element x y z (fractional)
Te 0.2818 0.7282 0.5015  9 Pd 2.71-3.04
Te 0.9382 0.9852 0.9412  8 Pd 2.68-2.96, 1 H 2.76
H 0.6762 0.3871 0.8620  3 Pd 1.75-1.80
H 0.6818 0.9022 0.2834  4 Pd 1.84-2.05
H 0.5995 0.3858 0.3257  3 Pd 1.82-1.92
H 0.2389 0.5286 0.8709  4 Pd 1.84-1.86
Pd 0.8764 0.2448 0.3166  2 H 1.82-1.87
Pd 0.3370 0.4594 0.1129  2 H 1.86-1.87
Pd 0.8640 0.4144 0.7248  2 H 1.79-1.85
Pd 0.8114 0.8143 0.5157  1 H 1.84
Pd 0.3800 0.0650 0.3153  2 H 1.92-2.05
Pd 0.3289 0.2878 0.6894  2 H 1.75-1.84
Pd 0.3951 0.8930 0.9152  1 H 1.86
Pd 0.8407 0.6542 0.1255  1 H 1.80



- What is the uncorrected energy in the third record?
  -0.1340 hartree per atom